# 1
# CaPmTeP

A relaxed structure of CaPmTeP (GGA-PBE, Alexandria via LeMat-Bulk).

Properties
E_tot = -5.342 eV/atom
density of states at the Fermi level = 0.00 states/eV/cell

Cell: 7.6076 7.6076 7.6076 Å, 32.76 32.76 32.76°
Closest atoms and distances in Å follow each position.
Positions (direct):
1 Ca 0.0000 0.0000 0.0000  3 P 2.98, 3 Te 3.19
2 Pm 0.4780 0.4780 0.4780  3 P 2.88
3 Te 0.2404 0.2404 0.2404  3 Ca 3.19, 3 Pm 3.23
4 P 0.7436 0.7436 0.7436  3 Pm 2.88, 3 Ca 2.98

=====

# 2
# Ca2PmThP4

A relaxed structure of Ca2PmThP4 (GGA-PBE, Alexandria via LeMat-Bulk).

Properties
density of states at the Fermi level = 7.84 states/eV/cell
calculated formation energy = -1.277 eV per atom

Cell: 7.1368 4.1786 7.2366 Å, 90.00 109.80 90.00°
Closest atoms and distances in Å follow each position.
Positions (direct):
1 Ca 0.0000 0.0000 0.0000  6 P 2.97
2 Ca 0.0000 0.5000 0.5000  6 P 2.98
3 Pm 0.5000 0.0000 0.5000  6 P 2.91-2.92
4 Th 0.5000 0.5000 0.0000  6 P 2.90
5 P 0.2582 0.5000 0.2510  1 Th 2.90, 2 Pm 2.91, 3 Ca 2.97-2.98
6 P 0.2593 0.0000 0.7549  2 Th 2.90, 1 Pm 2.92, 3 Ca 2.97-2.98
7 P 0.7407 0.0000 0.2451  2 Th 2.90, 1 Pm 2.92, 3 Ca 2.97-2.98
8 P 0.7418 0.5000 0.7490  1 Th 2.90, 2 Pm 2.91, 3 Ca 2.97-2.98

=====

# 3
# CaPm2ThP4

A relaxed structure of CaPm2ThP4 (GGA-PBE, Alexandria via LeMat-Bulk).

Properties
density of states at the Fermi level = 1.04 states/eV/cell
calculated formation energy = -1.461 eV per atom

Cell: 7.1476 4.1575 7.1859 Å, 90.00 109.24 90.00°
Closest atoms and distances in Å follow each position.
Positions (direct):
1 Ca 0.0000 0.0000 0.0000  6 P 2.93-2.96
2 Pm 0.0000 0.5000 0.5000  6 P 2.95
3 Pm 0.5000 0.0000 0.5000  6 P 2.91-2.92
4 Th 0.5000 0.5000 0.0000  6 P 2.89-2.92
5 P 0.2533 0.0000 0.7512  3 Pm 2.91-2.95, 2 Th 2.92, 1 Ca 2.93
6 P 0.2559 0.5000 0.2511  1 Th 2.89, 3 Pm 2.92-2.95, 2 Ca 2.96
7 P 0.7441 0.5000 0.7489  1 Th 2.89, 3 Pm 2.92-2.95, 2 Ca 2.96
8 P 0.7467 0.0000 0.2488  3 Pm 2.91-2.95, 2 Th 2.92, 1 Ca 2.93

=====

# 4
# Ca3Pm2UP6

A relaxed structure of Ca3Pm2UP6 (GGA-PBE, Alexandria via LeMat-Bulk).

Properties
calculated formation energy = -1.250 eV per atom

Cell: 7.1102 7.1102 7.0856 Å, 99.69 99.69 119.98°
Closest atoms and distances in Å follow each position.
Positions (direct):
1 Ca 0.0000 0.0000 0.0000  6 P 2.91-3.12
2 Ca 0.3296 0.6704 0.0000  6 P 2.91-3.05
3 Ca 0.6704 0.3296 0.0000  6 P 2.91-3.05
4 Pm 0.1662 0.8338 0.5000  6 P 2.89-2.90
5 Pm 0.8338 0.1662 0.5000  6 P 2.89-2.90
6 U 0.5000 0.5000 0.5000  6 P 2.69-2.71
7 P 0.1104 0.4228 0.2673  1 U 2.71, 2 Pm 2.90, 2 Ca 2.91
8 P 0.2669 0.2669 0.7298  1 U 2.69, 2 Pm 2.89, 2 Ca 2.95
9 P 0.4228 0.1104 0.2673  1 U 2.71, 2 Pm 2.90, 2 Ca 2.91
10 P 0.5772 0.8896 0.7327  1 U 2.71, 2 Pm 2.90, 2 Ca 2.91
11 P 0.7331 0.7331 0.2702  1 U 2.69, 2 Pm 2.89, 2 Ca 2.95
12 P 0.8896 0.5772 0.7327  1 U 2.71, 2 Pm 2.90, 2 Ca 2.91

=====

# 5
# Ca2PmUP4

A relaxed structure of Ca2PmUP4 (GGA-PBE, Alexandria via LeMat-Bulk).

Properties
density of states at the Fermi level = 5.55 states/eV/cell
calculated formation energy = -1.193 eV per atom

Cell: 7.0591 4.1028 7.0823 Å, 90.00 109.32 90.00°
Closest atoms and distances in Å follow each position.
Positions (direct):
1 Ca 0.0000 0.0000 0.0000  6 P 2.90-2.92
2 Ca 0.0000 0.5000 0.5000  6 P 3.02-3.06
3 Pm 0.5000 0.0000 0.5000  6 P 2.88-2.89
4 U 0.5000 0.5000 0.0000  6 P 2.71-2.78
5 P 0.2674 0.5000 0.2377  1 U 2.71, 2 Pm 2.89, 2 Ca 2.92
6 P 0.2725 0.0000 0.7703  2 U 2.78, 1 Pm 2.88, 3 Ca 2.90-3.02
7 P 0.7275 0.0000 0.2297  2 U 2.78, 1 Pm 2.88, 3 Ca 2.90-3.02
8 P 0.7326 0.5000 0.7623  1 U 2.71, 2 Pm 2.89, 2 Ca 2.92

=====

# 6
# CaPm2ZrP4

A relaxed structure of CaPm2ZrP4 (GGA-PBE, Alexandria via LeMat-Bulk).

Properties
density of states at the Fermi level = 1.17 states/eV/cell
calculated formation energy = -1.364 eV per atom

Cell: 6.9073 4.0147 7.0054 Å, 90.00 109.16 90.00°
Closest atoms and distances in Å follow each position.
Positions (direct):
1 Ca 0.0000 0.0000 0.0000  6 P 2.83-2.85
2 Pm 0.5000 0.0000 0.5000  6 P 2.84-2.85
3 Pm 0.5000 0.5000 0.0000  6 P 2.94-2.96
4 Zr 0.0000 0.5000 0.5000  6 P 2.71-2.75
5 P 0.2323 0.0000 0.7338  2 Zr 2.75, 1 Ca 2.83, 3 Pm 2.84-2.94
6 P 0.2393 0.5000 0.2608  1 Zr 2.71, 3 Pm 2.85-2.96, 2 Ca 2.85
7 P 0.7607 0.5000 0.7392  1 Zr 2.71, 3 Pm 2.85-2.96, 2 Ca 2.85
8 P 0.7677 0.0000 0.2662  2 Zr 2.75, 1 Ca 2.83, 3 Pm 2.84-2.94

=====

# 7
# CaPrP

A relaxed structure of CaPrP (GGA-PBE, Alexandria via LeMat-Bulk).

Properties
density of states at the Fermi level = 5.52 states/eV/cell
calculated formation energy = -0.691 eV per atom

Cell: 13.7245 4.0775 4.0775 Å, 59.99 90.00 90.00°
Closest atoms and distances in Å follow each position.
Positions (direct):
1 Ca 0.1158 0.0000 0.0000  3 P 2.84, 1 Ca 3.18
2 Ca 0.8842 0.0000 0.0000  3 P 2.84, 1 Ca 3.18
3 Pr 0.3723 0.3320 0.3320  3 P 2.93
4 Pr 0.6277 0.3320 0.3320  3 P 2.93
5 P 0.0000 0.3333 0.3333  6 Ca 2.84
6 P 0.5000 0.9986 0.9986  6 Pr 2.93

=====

# 8
# CaPr5P6

A relaxed structure of CaPr5P6 (GGA-PBE, Alexandria via LeMat-Bulk).

Properties
density of states at the Fermi level = 5.53 states/eV/cell
calculated formation energy = -1.394 eV per atom

Cell: 7.2727 7.2727 7.2759 Å, 99.60 99.60 120.01°
Closest atoms and distances in Å follow each position.
Positions (direct):
1 Ca 0.0000 0.0000 0.0000  6 P 2.99
2 Pr 0.1661 0.8339 0.5000  6 P 2.96-2.98
3 Pr 0.3332 0.6668 0.0000  6 P 2.96-2.97
4 Pr 0.5000 0.5000 0.5000  6 P 2.95-2.98
5 Pr 0.6668 0.3332 0.0000  6 P 2.96-2.97
6 Pr 0.8339 0.1661 0.5000  6 P 2.96-2.98
7 P 0.0836 0.4196 0.2504  5 Pr 2.96-2.98, 1 Ca 2.99
8 P 0.2524 0.2524 0.7485  5 Pr 2.95-2.97, 1 Ca 2.99
9 P 0.4196 0.0836 0.2504  5 Pr 2.96-2.98, 1 Ca 2.99
10 P 0.5804 0.9164 0.7496  5 Pr 2.96-2.98, 1 Ca 2.99
11 P 0.7476 0.7476 0.2515  5 Pr 2.95-2.97, 1 Ca 2.99
12 P 0.9164 0.5804 0.7496  5 Pr 2.96-2.98, 1 Ca 2.99

=====

# 9
# CaPrP2

A relaxed structure of CaPrP2 (GGA-PBE, Alexandria via LeMat-Bulk).

Properties
density of states at the Fermi level = 4.48 states/eV/cell
polymorph energy (0 for the lowest one) = 0.0 meV per atom
calculated formation energy = -1.120 eV per atom

Cell: 7.2203 7.2203 7.2203 Å, 33.71 33.71 33.71°
Closest atoms and distances in Å follow each position.
Positions (direct):
1 Ca 0.0000 0.0000 0.0000  6 P 2.97
2 Pr 0.5000 0.5000 0.5000  6 P 2.94
3 P 0.2489 0.2489 0.2489  3 Pr 2.94, 3 Ca 2.97
4 P 0.7511 0.7511 0.7511  3 Pr 2.94, 3 Ca 2.97

=====

# 10
# CaPrP

A relaxed structure of CaPrP (GGA-PBE, Alexandria via LeMat-Bulk).

Properties
density of states at the Fermi level = 2.14 states/eV/cell
calculated formation energy = -0.853 eV per atom

Cell: 4.1214 4.1214 6.7691 Å, 90.00 90.00 120.00°
Closest atoms and distances in Å follow each position.
Positions (direct):
1 Ca 0.0000 0.0000 0.0000  3 P 2.90
2 Pr 0.3333 0.6667 0.5242  3 P 2.84
3 P 0.6667 0.3333 0.7545  3 Pr 2.84, 3 Ca 2.90

=====

# 11
# CaPr3P

A relaxed structure of CaPr3P (GGA-PBE, Alexandria via LeMat-Bulk).

Properties
density of states at the Fermi level = 8.76 states/eV/cell
calculated formation energy = -0.452 eV per atom

Cell: 5.6911 5.6911 5.6911 Å, 90.00 90.00 90.00°
Closest atoms and distances in Å follow each position.
Positions (direct):
1 Ca 0.0000 0.0000 0.0000  12 Pr 4.02
2 Pr 0.0000 0.5000 0.5000  2 P 2.85
3 Pr 0.5000 0.0000 0.5000  2 P 2.85
4 Pr 0.5000 0.5000 0.0000  2 P 2.85
5 P 0.5000 0.5000 0.5000  6 Pr 2.85

=====

# 12
# CaPrP2

A relaxed structure of CaPrP2 (GGA-PBE, Alexandria via LeMat-Bulk).

Properties
density of states at the Fermi level = 3.74 states/eV/cell
polymorph energy (0 for the lowest one) = 74.8 meV per atom
calculated formation energy = -1.046 eV per atom

Cell: 7.1868 7.1868 7.1868 Å, 34.20 34.20 34.20°
Closest atoms and distances in Å follow each position.
Positions (direct):
1 Ca 0.0000 0.0000 0.0000  6 P 2.92-3.02
2 Pr 0.8267 0.8267 0.8267  6 P 2.95-2.99
3 P 0.2455 0.2455 0.2455  3 Pr 2.99, 3 Ca 3.02
4 P 0.4120 0.4120 0.4120  3 Ca 2.92, 3 Pr 2.95

=====

# 13
# CaPrP

A relaxed structure of CaPrP (GGA-PBE, Alexandria via LeMat-Bulk).

Properties
density of states at the Fermi level = 2.46 states/eV/cell
calculated formation energy = -0.810 eV per atom

Cell: 4.8726 4.8726 4.8726 Å, 60.00 60.00 60.00°
Closest atoms and distances in Å follow each position.
Positions (direct):
1 Ca 0.0000 0.0000 0.0000  4 P 2.98
2 Pr 0.5000 0.5000 0.5000  4 P 2.98
3 P 0.7500 0.7500 0.7500  4 Ca 2.98, 4 Pr 2.98

=====

# 14
# CaPrP2Pt4

A relaxed structure of CaPrP2Pt4 (GGA-PBE, Alexandria via LeMat-Bulk).

Properties
density of states at the Fermi level = 2.09 states/eV/cell
calculated formation energy = -0.788 eV per atom

Cell: 4.4769 4.4769 8.3967 Å, 90.00 90.00 90.00°
Closest atoms and distances in Å follow each position.
Positions (direct):
1 Ca 0.0000 0.0000 0.0000  8 Pt 3.08
2 Pr 0.0000 0.0000 0.5000  8 Pt 3.06
3 P 0.5000 0.5000 0.1657  4 Pt 2.35
4 P 0.5000 0.5000 0.8343  4 Pt 2.35
5 Pt 0.0000 0.5000 0.2518  2 P 2.35
6 Pt 0.0000 0.5000 0.7482  2 P 2.35
7 Pt 0.5000 0.0000 0.2518  2 P 2.35
8 Pt 0.5000 0.0000 0.7482  2 P 2.35

=====

# 15
# CaPrP2Rh5

A relaxed structure of CaPrP2Rh5 (GGA-PBE, Alexandria via LeMat-Bulk).

Properties
density of states at the Fermi level = 3.47 states/eV/cell
calculated formation energy = -0.835 eV per atom

Cell: 4.1310 4.1310 8.9528 Å, 90.00 90.00 90.00°
Closest atoms and distances in Å follow each position.
Positions (direct):
1 Ca 0.0000 0.0000 0.0000  8 Rh 3.07, 8 P 3.19
2 Pr 0.0000 0.0000 0.5000  12 Rh 2.92-3.02
3 P 0.5000 0.5000 0.1419  4 Rh 2.29, 1 P 2.54
4 P 0.5000 0.5000 0.8581  4 Rh 2.29, 1 P 2.54
5 Rh 0.0000 0.5000 0.2536  2 P 2.29
6 Rh 0.0000 0.5000 0.7464  2 P 2.29
7 Rh 0.5000 0.0000 0.2536  2 P 2.29
8 Rh 0.5000 0.0000 0.7464  2 P 2.29
9 Rh 0.5000 0.5000 0.5000  4 Pr 2.92, 8 Rh 3.02, 2 P 3.21

=====

# 16
# CaPr2P3Rh12

A relaxed structure of CaPr2P3Rh12 (GGA-PBE, Alexandria via LeMat-Bulk).

Properties
density of states at the Fermi level = 18.19 states/eV/cell
calculated formation energy = -0.264 eV per atom

Cell: 6.7640 6.7640 6.7640 Å, 84.16 84.16 84.16°
Closest atoms and distances in Å follow each position.
Positions (direct):
1 Ca 0.0000 0.0000 0.0000  6 Rh 2.67
2 Pr 0.3718 0.3718 0.3718  3 Rh 2.60
3 Pr 0.6282 0.6282 0.6282  3 Rh 2.60
4 P 0.0000 0.0000 0.5000  2 Rh 2.22
5 P 0.0000 0.5000 0.0000  2 Rh 2.22
6 P 0.5000 0.0000 0.0000  2 Rh 2.22
7 Rh 0.0900 0.6334 0.6334  2 P 2.59, 1 Rh 2.69
8 Rh 0.1758 0.1758 0.6666  1 P 2.22
9 Rh 0.1758 0.6666 0.1758  1 P 2.22
10 Rh 0.3334 0.8242 0.8242  1 P 2.22
11 Rh 0.3666 0.3666 0.9100  2 P 2.59, 1 Rh 2.69
12 Rh 0.3666 0.9100 0.3666  2 P 2.59, 1 Rh 2.69
13 Rh 0.6334 0.0900 0.6334  2 P 2.59, 1 Rh 2.69
14 Rh 0.6334 0.6334 0.0900  2 P 2.59, 1 Rh 2.69
15 Rh 0.6666 0.1758 0.1758  1 P 2.22
16 Rh 0.8242 0.3334 0.8242  1 P 2.22
17 Rh 0.8242 0.8242 0.3334  1 P 2.22
18 Rh 0.9100 0.3666 0.3666  2 P 2.59, 1 Rh 2.69

=====

# 17
# Ca3PrSb2P

A relaxed structure of Ca3PrSb2P (GGA-PBE, Alexandria via LeMat-Bulk).

Properties
E_tot = -4.485 eV/atom
density of states at the Fermi level = 0.29 states/eV/cell

Cell: 8.9892 8.9892 8.9892 Å, 146.12 144.46 49.92°
Closest atoms and distances in Å follow each position.
Positions (direct):
1 Ca 0.0000 0.0000 0.0000  2 P 2.62
2 Ca 0.1751 0.6751 0.5000  1 P 2.85, 1 Sb 3.11
3 Ca 0.8249 0.3249 0.5000  1 P 2.85, 1 Sb 3.11
4 Pr 0.5000 0.5000 0.0000  2 P 2.74
5 Sb 0.3661 0.8661 0.5000  1 Ca 3.11, 2 Pr 3.41
6 Sb 0.6339 0.1339 0.5000  1 Ca 3.11, 2 Pr 3.41
7 P 0.0000 0.5000 0.5000  4 Ca 2.62-2.85, 2 Pr 2.74

=====

# 18
# CaPrPSe

A relaxed structure of CaPrPSe (GGA-PBE, Alexandria via LeMat-Bulk).

Properties
E_tot = -5.618 eV/atom

Cell: 7.3331 7.3331 7.3331 Å, 33.53 33.53 33.53°
Closest atoms and distances in Å follow each position.
Positions (direct):
1 Ca 0.0000 0.0000 0.0000  3 P 2.96, 3 Se 3.02
2 Pr 0.4887 0.4887 0.4887  3 P 2.89, 3 Se 3.10
3 P 0.7475 0.7475 0.7475  3 Pr 2.89, 3 Ca 2.96
4 Se 0.2473 0.2473 0.2473  3 Ca 3.02, 3 Pr 3.10

=====

# 19
# Ca3Pr2TaP6

A relaxed structure of Ca3Pr2TaP6 (GGA-PBE, Alexandria via LeMat-Bulk).

Properties
density of states at the Fermi level = 6.48 states/eV/cell
calculated formation energy = -1.082 eV per atom

Cell: 7.0003 7.0003 7.0865 Å, 99.66 99.66 120.10°
Closest atoms and distances in Å follow each position.
Positions (direct):
1 Ca 0.0000 0.0000 0.0000  6 P 2.85-3.15
2 Ca 0.3271 0.6729 0.0000  6 P 2.87-3.06
3 Ca 0.6729 0.3271 0.0000  6 P 2.87-3.06
4 Pr 0.1656 0.8344 0.5000  6 P 2.90-2.91
5 Pr 0.8344 0.1656 0.5000  6 P 2.90-2.91
6 Ta 0.5000 0.5000 0.5000  6 P 2.61-2.62
7 P 0.1208 0.4229 0.2675  1 Ta 2.62, 2 Ca 2.85-2.87, 2 Pr 2.90-2.91
8 P 0.2803 0.2803 0.7330  1 Ta 2.61, 2 Ca 2.90, 2 Pr 2.90
9 P 0.4229 0.1208 0.2675  1 Ta 2.62, 2 Ca 2.85-2.87, 2 Pr 2.90-2.91
10 P 0.5771 0.8792 0.7325  1 Ta 2.62, 2 Ca 2.85-2.87, 2 Pr 2.90-2.91
11 P 0.7197 0.7197 0.2670  1 Ta 2.61, 2 Ca 2.90, 2 Pr 2.90
12 P 0.8792 0.5771 0.7325  1 Ta 2.62, 2 Ca 2.85-2.87, 2 Pr 2.90-2.91

=====

# 20
# Ca3PrTh2P6

A relaxed structure of Ca3PrTh2P6 (GGA-PBE, Alexandria via LeMat-Bulk).

Properties
density of states at the Fermi level = 10.55 states/eV/cell
calculated formation energy = -1.310 eV per atom

Cell: 7.2835 7.2835 7.1421 Å, 99.80 99.80 120.00°
Closest atoms and distances in Å follow each position.
Positions (direct):
1 Ca 0.0000 0.0000 0.0000  6 P 2.95-3.00
2 Ca 0.3350 0.6650 0.0000  6 P 2.96-3.00
3 Ca 0.6650 0.3350 0.0000  6 P 2.96-3.00
4 Pr 0.5000 0.5000 0.5000  6 P 2.95-2.96
5 Th 0.1667 0.8333 0.5000  6 P 2.90
6 Th 0.8333 0.1667 0.5000  6 P 2.90
7 P 0.0804 0.4195 0.2585  2 Th 2.90, 1 Pr 2.95, 3 Ca 2.96-3.00
8 P 0.2414 0.2414 0.7417  2 Th 2.90, 3 Ca 2.95-2.99, 1 Pr 2.96
9 P 0.4195 0.0804 0.2585  2 Th 2.90, 1 Pr 2.95, 3 Ca 2.96-3.00
10 P 0.5805 0.9196 0.7415  2 Th 2.90, 1 Pr 2.95, 3 Ca 2.96-3.00
11 P 0.7586 0.7586 0.2583  2 Th 2.90, 3 Ca 2.95-2.99, 1 Pr 2.96
12 P 0.9196 0.5805 0.7415  2 Th 2.90, 1 Pr 2.95, 3 Ca 2.96-3.00